No. 1
Compound: Ca2Hg2Pd5Pt
Source: Alexandria
Functional: PBE
Structure: optimized geometry

abc: 9.9349 9.9349 3.9879
angles: 90.00 90.00 90.00
With the nearest neighbours (Å) after each atom.
Space group P4/mbm (No. 127)
Unique sites:
Ca: 0.1722 0.3278 0.0000 [4 per cell]  3 Hg 2.79-3.02
Hg: 0.1291 0.6291 0.0000 [4 per cell]  6 Pd 2.70-2.76, 1 Ca 2.79
Pd: 0.0000 0.5000 0.5000 [2 per cell]  4 Hg 2.70
Pd: 0.0557 0.8071 0.5000 [8 per cell]  2 Hg 2.76, 2 Pt 2.82, 2 Pd 2.82
Pt: 0.0000 0.0000 0.0000 [2 per cell]  8 Pd 2.82

Properties
**Energy relative to the elements**: -0.3595 eV per atom
**Theoretical density**: 10.20 g/cm3
**E**: -80.4 eV per cell
**Volume**: 19.7 A^3/atom
**Size of the total moment**: 0.000 μB/cell

---

No. 2
Compound: Ca2HgPd5Pt2
Source: Alexandria
Functional: PBE
Structure: optimized geometry

abc: 9.5184 9.5184 4.1732
angles: 90.00 90.00 90.00
With the nearest neighbours (Å) after each atom.
Space group P4/mbm (No. 127)
Unique sites:
Ca: 0.1712 0.3288 0.0000 [4 per cell]  3 Pt 2.74-2.85
Hg: 0.0000 0.0000 0.0000 [2 per cell]  8 Pd 2.91
Pd: 0.0000 0.5000 0.5000 [2 per cell]  4 Pt 2.68, 4 Pd 2.91
Pd: 0.0681 0.7977 0.5000 [8 per cell]  2 Pt 2.71, 3 Pd 2.87-2.91, 2 Hg 2.91
Pt: 0.1250 0.6250 0.0000 [4 per cell]  6 Pd 2.68-2.71, 3 Ca 2.74-2.85

Properties
**Energy relative to the elements**: -0.4805 eV per atom
**Theoretical density**: 10.57 g/cm3
**E**: -94.3 eV per cell
**Volume**: 18.9 A^3/atom
**Size of the total moment**: 0.000 μB/cell

---

No. 3
Compound: Ca4HgPd2Pt
Source: Alexandria
Functional: PBE
Structure: optimized geometry

abc: 5.0845 5.0845 24.8191
angles: 90.00 90.00 120.00
With the nearest neighbours (Å) after each atom.
Space group R-3m (No. 166, hexagonal axes)
Unique sites:
Ca: 0.0000 0.0000 0.1188 [6 per cell]  1 Pt 2.95, 4 Pd 3.04-3.16, 3 Hg 3.17
Ca: 0.0000 0.0000 0.3693 [6 per cell]  4 Pd 3.05-3.20, 3 Pt 3.07, 1 Hg 3.24
Hg: 0.0000 0.0000 0.5000 [3 per cell]  8 Ca 3.17-3.24, 6 Pd 3.54
Pd: 0.0000 0.0000 0.2462 [6 per cell]  8 Ca 3.04-3.20
Pt: 0.0000 0.0000 0.0000 [3 per cell]  8 Ca 2.95-3.07

Properties
**Energy relative to the elements**: -0.6936 eV per atom
**Theoretical density**: 6.89 g/cm3
**E**: -90.8 eV per cell
**Volume**: 23.2 A^3/atom
**Size of the total moment**: 0.000 μB/cell

---

No. 4
Compound: Ca4HgPdPt2
Source: Alexandria
Functional: PBE
Structure: optimized geometry

abc: 5.0634 5.0634 24.6448
angles: 90.00 90.00 120.00
With the nearest neighbours (Å) after each atom.
Space group R-3m (No. 166, hexagonal axes)
Unique sites:
Ca: 0.0000 0.0000 0.1206 [6 per cell]  1 Pd 2.97, 4 Pt 3.05-3.15, 3 Hg 3.14
Ca: 0.0000 0.0000 0.3709 [6 per cell]  4 Pt 3.02-3.15, 3 Pd 3.07, 1 Hg 3.18
Hg: 0.0000 0.0000 0.5000 [3 per cell]  8 Ca 3.14-3.18
Pd: 0.0000 0.0000 0.0000 [3 per cell]  8 Ca 2.97-3.07
Pt: 0.0000 0.0000 0.2483 [6 per cell]  8 Ca 3.02-3.15

Properties
**Energy relative to the elements**: -0.7428 eV per atom
**Theoretical density**: 7.81 g/cm3
**E**: -94.6 eV per cell
**Volume**: 22.8 A^3/atom
**Size of the total moment**: 0.000 μB/cell

---

No. 5
Compound: CaPuHgPd
Source: Alexandria
Functional: PBE
Structure: optimized geometry

abc: 7.3340 7.3340 7.3340
angles: 90.00 90.00 90.00
With the nearest neighbours (Å) after each atom.
Space group F-43m (No. 216)
Unique sites:
Ca: 0.0000 0.0000 0.0000 [4 per cell]  4 Pd 3.18, 4 Hg 3.18
Pu: 0.0000 0.0000 0.5000 [4 per cell]  4 Hg 3.18, 4 Pd 3.18
Hg: 0.2500 0.2500 0.7500 [4 per cell]  4 Ca 3.18, 4 Pu 3.18
Pd: 0.2500 0.2500 0.2500 [4 per cell]  4 Ca 3.18, 4 Pu 3.18

Properties
**Energy relative to the elements**: -0.3379 eV per atom
**Theoretical density**: 9.95 g/cm3
**E**: -92.7 eV per cell
**Volume**: 24.7 A^3/atom
**Size of the total moment**: 23.704 μB/cell

---

No. 6
Compound: RbCa2HgPd
Source: Alexandria
Functional: PBE
Structure: optimized geometry

abc: 5.6338 5.6338 5.5627
angles: 90.00 90.00 90.00
With the nearest neighbours (Å) after each atom.
Space group P4/mmm (No. 123)
Unique sites:
Rb: 0.0000 0.0000 0.0000 [1 per cell]  8 Ca 3.96, 4 Hg 3.98
Ca: 0.0000 0.5000 0.5000 [2 per cell]  2 Pd 2.82
Hg: 0.5000 0.5000 0.0000 [1 per cell]  2 Pd 2.78
Pd: 0.5000 0.5000 0.5000 [1 per cell]  2 Hg 2.78, 4 Ca 2.82

Properties
**Energy relative to the elements**: -0.2497 eV per atom
**Theoretical density**: 4.45 g/cm3
**E**: -11.7 eV per cell
**Volume**: 35.3 A^3/atom
**Size of the total moment**: 0.000 μB/cell